Entry from Alexandria via LeMat-Bulk: an optimized crystal structure of BaOs2Rh (PBE).

Summary:
E_form = 0.31 eV/atom
Total moment = 0.0 μB per cell
N(E_F) = 3.48 states/eV/f.u.
Symmetry = R3m

Unit cell a=6.3421 b=6.3421 c=6.3421 alpha=40.69 beta=40.69 gamma=40.69
Fractional coordinates of all 4 atoms:
Os  0.2590  0.2590  0.2590
Os  0.9387  0.9387  0.9387
Rh  0.5648  0.5648  0.5648
Ba  0.7525  0.7525  0.7525